Record 1
Computed, not measured: crystalline NaCdFeB2 at its relaxed geometry at the PBE level of DFT.

Cell lengths 4.418, 4.418, 4.561 Å; angles 90.00, 90.00, 90.00 degrees
Sites, in units of the cell vectors:
Na  0.000  0.000  0.000
Cd  0.500  0.500  0.500
Fe  0.000  0.000  0.500
B  0.000  0.500  0.000
B  0.500  0.000  0.000

E: -2.46 eV per atom
formation energy from the elements: 2.35 eV/atom
total magnetization: 3.0 μB per formula unit


Record 2
Computed, not measured: crystalline Ca2HPd at its relaxed geometry at the PBE level of DFT.

Cell lengths 3.816, 3.816, 21.197 Å; angles 90.00, 90.00, 120.00 degrees
Sites, in units of the cell vectors:
Ca  0.000  0.000  0.000
Ca  0.000  0.000  0.165
Ca  0.333  0.667  0.667
Ca  0.333  0.667  0.831
Ca  0.667  0.333  0.333
Ca  0.667  0.333  0.498
H  0.000  0.000  0.415
H  0.333  0.667  0.082
H  0.667  0.333  0.749
Pd  0.000  0.000  0.582
Pd  0.333  0.667  0.249
Pd  0.667  0.333  0.916

E: -3.45 eV per atom
polymorph energy (0 for the lowest one): 0.331 eV per formula unit
total magnetization: 0.0 μB per formula unit


Record 3
Computed, not measured: crystalline Ni4Os5 at its relaxed geometry at the PBE level of DFT.

Cell lengths 7.251, 7.251, 5.131 Å; angles 90.00, 90.00, 120.00 degrees
Sites, in units of the cell vectors:
Ni  0.000  0.000  0.000
Ni  0.000  0.000  0.500
Ni  0.000  0.359  0.250
Ni  0.000  0.641  0.750
Ni  0.359  0.000  0.250
Ni  0.359  0.359  0.750
Ni  0.641  0.000  0.750
Ni  0.641  0.641  0.250
Os  0.000  0.309  0.750
Os  0.000  0.691  0.250
Os  0.309  0.000  0.750
Os  0.309  0.309  0.250
Os  0.333  0.667  0.000
Os  0.333  0.667  0.500
Os  0.667  0.333  0.000
Os  0.667  0.333  0.500
Os  0.691  0.000  0.250
Os  0.691  0.691  0.750

E: -8.42 eV per atom
formation energy from the elements: 0.39 eV/atom
polymorph energy (0 for the lowest one): 2.146 eV per formula unit
total magnetization: 0.0 μB per formula unit


Record 4
Computed, not measured: crystalline La2BeGePt6 at its relaxed geometry at the PBE level of DFT.

Cell lengths 7.256, 7.256, 7.256 Å; angles 47.72, 47.72, 47.72 degrees
Sites, in units of the cell vectors:
La  0.221  0.221  0.221
La  0.779  0.779  0.779
Be  0.000  0.000  0.000
Ge  0.500  0.500  0.500
Pt  0.240  0.240  0.717
Pt  0.240  0.717  0.240
Pt  0.283  0.760  0.760
Pt  0.717  0.240  0.240
Pt  0.760  0.283  0.760
Pt  0.760  0.760  0.283

E: -6.30 eV per atom
formation energy from the elements: -0.86 eV/atom
total magnetization: 0.0 μB per formula unit


Results for V: 17.8; 22.3; 13.0; 19.1 (in Å³ per atom, following the order of the records).